# MgVTe2 | Alexandria | GGA-PBE | optimized geometry
# Calculated volume ... 105 Å³/cell
# Symmetry ... No. 166
# Total magnetization ... 0.64 μB per cell
# E ... -4.4314 eV per atom
# ΔE_f (raw) ... -0.729 eV per formula unit
data_MgVTe2
_cell_length_a 9.784
_cell_length_b 9.784
_cell_length_c 9.784
_cell_angle_alpha 20.97
_cell_angle_beta 20.97
_cell_angle_gamma 20.97
_symmetry_space_group_name_H-M 'P 1'
_symmetry_Int_Tables_number 1
loop_
_symmetry_equiv_pos_as_xyz
'x,y,z'
loop_
_atom_site_label
_atom_site_type_symbol
_atom_site_fract_x
_atom_site_fract_y
_atom_site_fract_z
_atom_site_occupancy
Mg1 Mg 0.000 0.000 0.000 1
V1 V 0.500 0.500 0.500 1
Te1 Te 0.106 0.106 0.106 1
Te2 Te 0.894 0.894 0.894 1